Entry 1:
First-principles (GGA-PBE) data for Sr2LiCr after structural relaxation, as listed in the Alexandria database.

The space group is F-43m (No. 216) and the conventional cell measures 8.089, 8.089 and 8.089 Å, with angles of 90.00, 90.00 and 90.00 degrees. The inequivalent atoms are Sr at (0.000, 0.000, 0.000), Sr at (0.250, 0.250, 0.250), Li at (0.000, 0.000, 0.500) and Cr at (0.250, 0.250, 0.750).

As for the crystal system: cubic. The value obtained for the total magnetization is 5.2 μB/f.u. Its formation energy is 0.55 eV per atom.

Entry 2:
First-principles (GGA-PBE) data for H2PtCl6 after structural relaxation, as listed in the Alexandria database.

The space group is C2/c (No. 15) and the conventional cell measures 14.358, 12.041 and 6.069 Å, with angles of 90.00, 100.19 and 90.00 degrees. The inequivalent atoms are H at (0.133, 0.023, 0.299), Pt at (0.000, 0.427, 0.750), Cl at (0.093, 0.430, 0.467), Cl at (0.098, 0.293, 0.939) and Cl at (0.135, 0.087, 0.472).

As for the crystal system: monoclinic. The electronic total energy comes out at -27.8 eV per formula unit. The value obtained for the total magnetization is 0.0 μB/f.u.

Entry 3:
First-principles (GGA-PBE) data for Tl2PbSe2 after structural relaxation, as listed in the Alexandria database.

The space group is P-1 (No. 2) and the conventional cell measures 4.688, 8.611 and 8.947 Å, with angles of 74.06, 90.00 and 74.23 degrees. The inequivalent atoms are Tl at (0.012, 0.477, 0.264), Tl at (0.333, 0.834, 0.670), Pb at (0.335, 0.831, 0.169), Se at (0.150, 0.200, 0.592) and Se at (0.159, 0.183, 0.068).

As for the crystal system: triclinic. For the uncorrected formation energy, the calculation gives -383 meV per atom. The value obtained for the total magnetization is 0.0 μB/f.u.

Entry 4:
First-principles (GGA-PBE) data for ScInMo2 after structural relaxation, as listed in the Alexandria database.

The space group is P2/m (No. 10) and the conventional cell measures 2.874, 4.796 and 5.495 Å, with angles of 90.00, 99.21 and 90.00 degrees. The inequivalent atoms are Sc at (0.000, 0.000, 0.000), In at (0.500, 0.000, 0.500) and Mo at (0.303, 0.500, 0.782).

As for the crystal system: monoclinic. The value obtained for the total magnetization is 0.0 μB/f.u. Its formation energy is 0.16 eV per atom.

Entry 5:
First-principles (GGA-PBE) data for Ac6SbPt3 after structural relaxation, as listed in the Alexandria database.

The space group is P2_1/m (No. 11) and the conventional cell measures 12.821, 4.508 and 12.988 Å, with angles of 90.00, 108.30 and 90.00 degrees. The inequivalent atoms are Ac at (0.025, 0.250, 0.388), Ac at (0.110, 0.250, 0.947), Ac at (0.217, 0.750, 0.264), Ac at (0.296, 0.750, 0.760), Ac at (0.362, 0.250, 0.537), Ac at (0.421, 0.750, 0.090), Sb at (0.446, 0.250, 0.310), Pt at (0.051, 0.250, 0.163), Pt at (0.179, 0.750, 0.495) and Pt at (0.346, 0.250, 0.920).

As for the crystal system: monoclinic. For the uncorrected formation energy, the calculation gives -953 meV per atom. The value obtained for the total magnetization is 0.0 μB/f.u.

Entry 6:
First-principles (GGA-PBE) data for Li6MgPb after structural relaxation, as listed in the Alexandria database.

The space group is Amm2 (No. 38) and the conventional cell measures 4.824, 6.575 and 9.718 Å, with angles of 90.00, 90.00 and 90.00 degrees. The inequivalent atoms are Li at (0.000, 0.000, 0.000), Li at (0.000, 0.233, 0.281), Li at (0.500, 0.000, 0.311), Li at (0.500, 0.233, 0.049), Mg at (0.000, 0.000, 0.548) and Pb at (0.500, 0.000, 0.789).

As for the crystal system: orthorhombic. The value obtained for the total magnetization is 0.0 μB/f.u. Its formation energy is -0.16 eV per atom.

Entry 7:
First-principles (GGA-PBE) data for Pm2TlGe2Rh5 after structural relaxation, as listed in the Alexandria database.

The space group is P4/mbm (No. 127) and the conventional cell measures 9.999, 9.999 and 3.655 Å, with angles of 90.00, 90.00 and 90.00 degrees. The inequivalent atoms are Pm at (0.176, 0.324, 0.000), Tl at (0.000, 0.000, 0.000), Ge at (0.122, 0.622, 0.000), Rh at (0.000, 0.500, 0.500) and Rh at (0.068, 0.784, 0.500).

As for the crystal system: tetragonal. The value obtained for the total magnetization is 0.0 μB/f.u. Its formation energy is -0.68 eV per atom.

Entry 8:
First-principles (GGA-PBE) data for RbCrI3 after structural relaxation, as listed in the Alexandria database.

The space group is C2/m (No. 12) and the conventional cell measures 14.050, 8.107 and 7.029 Å, with angles of 90.00, 95.77 and 90.00 degrees. The inequivalent atoms are Rb at (0.167, 0.000, 0.236), Cr at (0.000, 0.500, 0.000), Cr at (0.000, 0.500, 0.500), I at (0.080, 0.258, 0.778) and I at (0.166, 0.500, 0.310).

As for the crystal system: monoclinic. For the uncorrected formation energy, the calculation gives -757 meV per atom. The value obtained for the total magnetization is 4.0 μB/f.u.

Entry 9:
First-principles (GGA-PBE) data for Bi3MoW after structural relaxation, as listed in the Alexandria database.

The space group is Pm-3m (No. 221) and the conventional cell measures 5.346, 5.346 and 5.346 Å, with angles of 90.00, 90.00 and 90.00 degrees. The inequivalent atoms are Bi at (0.000, 0.000, 0.500), Mo at (0.000, 0.000, 0.000) and W at (0.500, 0.500, 0.500).

As for the crystal system: cubic. The value obtained for the total magnetization is 4.2 μB/f.u. Its formation energy is 1.61 eV per atom.

Entry 10:
First-principles (GGA-PBE) data for La2B2Rh5Au after structural relaxation, as listed in the Alexandria database.

The space group is P4/mbm (No. 127) and the conventional cell measures 9.833, 9.833 and 3.283 Å, with angles of 90.00, 90.00 and 90.00 degrees. The inequivalent atoms are La at (0.179, 0.321, 0.000), B at (0.120, 0.620, 0.000), Rh at (0.000, 0.500, 0.500), Rh at (0.070, 0.769, 0.500) and Au at (0.000, 0.000, 0.000).

As for the crystal system: tetragonal. The value obtained for the total magnetization is 0.0 μB/f.u. Its formation energy is -0.58 eV per atom.

Entry 11:
First-principles (GGA-PBE) data for SrUCuS4 after structural relaxation, as listed in the Alexandria database.

The space group is P2_1/m (No. 11) and the conventional cell measures 6.324, 6.223 and 8.138 Å, with angles of 90.00, 107.71 and 90.00 degrees. The inequivalent atoms are Sr at (0.248, 0.250, 0.056), U at (0.236, 0.250, 0.557), Cu at (0.233, 0.750, 0.328), S at (0.025, 0.515, 0.721), S at (0.437, 0.750, 0.143) and S at (0.455, 0.750, 0.598).

As for the crystal system: monoclinic. For the uncorrected formation energy, the calculation gives -1268 meV per atom. The value obtained for the total magnetization is 1.1 μB/f.u.

Entry 12:
First-principles (GGA-PBE) data for CrNi3 after structural relaxation, as listed in the Alexandria database.

The space group is Pm-3m (No. 221) and the conventional cell measures 3.553, 3.553 and 3.553 Å, with angles of 90.00, 90.00 and 90.00 degrees. The inequivalent atoms are Cr at (0.000, 0.000, 0.000) and Ni at (0.000, 0.500, 0.500).

As for the crystal system: cubic. The value obtained for the total magnetization is 2.2 μB/f.u. Its formation energy is -0.01 eV per atom.